Material: ZrSc2Au2
Method: DFT, PBE-GGA
State: relaxed

Lattice parameters (Å, degrees): 7.991 7.991 3.221 90.00 90.00 90.00
Atoms (fractional coordinates):
Zr 0.000 0.000 0.000
Zr 0.500 0.500 0.000
Sc 0.148 0.352 0.000
Sc 0.352 0.852 0.000
Sc 0.648 0.148 0.000
Sc 0.852 0.648 0.000
Au 0.150 0.650 0.500
Au 0.350 0.150 0.500
Au 0.650 0.850 0.500
Au 0.850 0.350 0.500

Calculated values
calculated total energy: -6.03 eV per atom
formation enthalpy at 0 K: -0.48 eV per atom
magnetic moment: 1.7 μB per formula unit
polymorph energy (0 for the lowest one): 105 meV per atom

---

Material: ZrSc2Au
Method: DFT, PBE-GGA
State: relaxed

Lattice parameters (Å, degrees): 4.917 4.917 4.917 60.00 60.00 60.00
Atoms (fractional coordinates):
Zr 0.000 0.000 0.000
Sc 0.250 0.250 0.250
Sc 0.750 0.750 0.750
Au 0.500 0.500 0.500

Calculated values
calculated total energy: -6.33 eV per atom
formation enthalpy at 0 K: -0.21 eV per atom
magnetic moment: 3.1 μB per formula unit
polymorph energy (0 for the lowest one): 138 meV per atom

---

Which value of polymorph energy (0 for the lowest one) does entry 1 give? 105 meV per atom

---

Repeat the first record exactly.
Material: ZrSc2Au2
Method: DFT, PBE-GGA
State: relaxed

Lattice parameters (Å, degrees): 7.991 7.991 3.221 90.00 90.00 90.00
Atoms (fractional coordinates):
Zr 0.000 0.000 0.000
Zr 0.500 0.500 0.000
Sc 0.148 0.352 0.000
Sc 0.352 0.852 0.000
Sc 0.648 0.148 0.000
Sc 0.852 0.648 0.000
Au 0.150 0.650 0.500
Au 0.350 0.150 0.500
Au 0.650 0.850 0.500
Au 0.850 0.350 0.500

Calculated values
calculated total energy: -6.03 eV per atom
formation enthalpy at 0 K: -0.48 eV per atom
magnetic moment: 1.7 μB per formula unit
polymorph energy (0 for the lowest one): 105 meV per atom

---

Which value of magnetic moment does entry 2 give? 3.1 μB per formula unit